Record 1
This record from the Alexandria database describes YPRh2 after structural relaxation. The functional is PBE-GGA.

The value obtained for the magnetization is 0.07 μB per atom. As for the formation energy: -0.314 eV/atom.

The space group is F-43m (No. 216) and the conventional cell measures 6.479, 6.479 and 6.479 Å, with angles of 90.00, 90.00 and 90.00 degrees. The distinct sites, in fractional coordinates, are Y at (0.000, 0.000, 0.000), P at (0.250, 0.250, 0.250), Rh at (0.000, 0.000, 0.500) and Rh at (0.250, 0.250, 0.750).

***

Record 2
This record from the Alexandria database describes YPRh2 after structural relaxation. The functional is PBE-GGA.

The value obtained for the magnetization is 0.00 μB per atom. As for the formation energy: -0.787 eV/atom.

The space group is Cm (No. 8) and the conventional cell measures 7.830, 3.791 and 5.270 Å, with angles of 90.00, 113.76 and 90.00 degrees. The distinct sites, in fractional coordinates, are Y at (0.000, 0.000, 0.000), P at (0.257, 0.500, 0.414), Rh at (0.199, 0.000, 0.638) and Rh at (0.431, 0.000, 0.369).

***

Record 3
This record from the Alexandria database describes YP2Rh after structural relaxation. The functional is PBE-GGA.

Its distance to the lowest polymorph of the same formula is 341 meV per atom. The value obtained for the magnetization is 0.00 μB per atom. As for the formation energy: -0.685 eV/atom.

The space group is Cm (No. 8) and the conventional cell measures 8.708, 3.505 and 4.828 Å, with angles of 90.00, 105.08 and 90.00 degrees. The distinct sites, in fractional coordinates, are Y at (0.000, 0.000, 0.000), P at (0.241, 0.000, 0.710), P at (0.499, 0.000, 0.504) and Rh at (0.277, 0.500, 0.406).

***

Record 4
This record from the Alexandria database describes YP2Rh5 after structural relaxation. The functional is PBE-GGA.

The value obtained for the magnetization is 0.00 μB per atom. As for the formation energy: -0.837 eV/atom.

The space group is Immm (No. 71) and the conventional cell measures 3.893, 6.768 and 9.423 Å, with angles of 90.00, 90.00 and 90.00 degrees. The distinct sites, in fractional coordinates, are Y at (0.000, 0.000, 0.000), P at (0.000, 0.500, 0.243), Rh at (0.000, 0.203, 0.351) and Rh at (0.000, 0.500, 0.000).